## ZrRh3 (PBE-GGA)

Data for ZrRh3 after structural relaxation.

Lattice parameters (Å, degrees): 3.003 4.444 4.749 90.00 90.00 90.00
Space group Pmm2 (No. 25)
Inequivalent atoms, fractional coordinates:
Zr: 0.000 0.000 0.000
Rh: 0.000 0.500 0.632
Rh: 0.500 0.000 0.511
Rh: 0.500 0.500 0.150

Results
Fermi-level density of states, states/eV/f.u.: 4.69
Total magnetic moment, μB/f.u.: 0.000
Energy of formation, meV/atom: -470